No. 1
This record from Alexandria describes LaNi4Pd8 after structural relaxation. The functional is PBE.

Unit cell a=5.0410 b=6.7879 c=6.7879 alpha=82.07 beta=68.20 gamma=68.20
Closest atoms and distances in Å follow each position.
Fractional coordinates of all 13 atoms:
Pd 0.0000 0.3469 0.6531  4 Ni 2.70, 5 Pd 2.73-2.84
Pd 0.5000 0.7794 0.2206  4 Ni 2.57, 6 Pd 2.76-2.84
Pd 0.2794 0.2206 0.2206  4 Ni 2.57, 6 Pd 2.76-2.84
Pd 0.0000 0.6531 0.3469  4 Ni 2.70, 5 Pd 2.73-2.84
Pd 0.3469 0.6531 0.6531  4 Ni 2.70, 5 Pd 2.73-2.84
Pd 0.6531 0.3469 0.3469  4 Ni 2.70, 5 Pd 2.73-2.84
Pd 0.5000 0.2206 0.7794  4 Ni 2.57, 6 Pd 2.76-2.84
Pd 0.7206 0.7794 0.7794  4 Ni 2.57, 6 Pd 2.76-2.84
Ni 0.5000 0.0000 0.5000  2 Ni 2.52, 8 Pd 2.57-2.70
Ni 0.5000 0.5000 0.0000  2 Ni 2.52, 8 Pd 2.57-2.70
Ni 0.0000 0.5000 0.0000  2 Ni 2.52, 8 Pd 2.57-2.70
Ni 0.0000 0.0000 0.5000  2 Ni 2.52, 8 Pd 2.57-2.70
La 0.0000 0.0000 0.0000  12 Pd 3.09-3.20, 8 Ni 3.39

Computed properties:
The value obtained for the formation energy is -0.24 eV/atom. The value obtained for the size of the total moment is 4.07 μB/f.u. The total energy comes out at -5.597 eV per atom. The calculated density comes out at 10159 kg/m³.

No. 2
This record from Alexandria describes Ba2Te2I after structural relaxation. The functional is PBE.

Unit cell a=5.6283 b=5.6283 c=8.7221 alpha=84.24 beta=84.24 gamma=73.50
Closest atoms and distances in Å follow each position.
Fractional coordinates of all 5 atoms:
Ba 0.7280 0.7280 0.7216  4 Te 3.39-3.43, 1 I 3.66
Ba 0.2720 0.2720 0.2784  4 Te 3.39-3.43, 1 I 3.66
Te 0.7471 0.2529 0.5000  2 Te 3.33-3.41, 4 Ba 3.39-3.43
Te 0.2529 0.7471 0.5000  2 Te 3.33-3.41, 4 Ba 3.39-3.43
I 0.0000 0.0000 0.0000  2 Ba 3.66

Computed properties:
The value obtained for the size of the total moment is 0.00 μB/f.u. The total energy comes out at -3.729 eV per atom. The calculated density comes out at 4149 kg/m³.

No. 3
This record from Alexandria describes La2PrSbN4 after structural relaxation. The functional is PBE.

Unit cell a=3.7763 b=6.3675 c=12.5848 alpha=90.00 beta=90.00 gamma=107.25
Closest atoms and distances in Å follow each position.
Fractional coordinates of all 16 atoms:
N 0.0000 0.0000 0.5000  4 La 2.50
N 0.7187 0.4374 0.8655  1 Sb 2.10
N 0.2813 0.5626 0.1345  1 Sb 2.10
N 0.4324 0.8647 0.7500  2 Sb 2.18
N 0.7187 0.4374 0.6345  1 Sb 2.10
N 0.5676 0.1353 0.2500  2 Sb 2.18
N 0.0000 0.0000 0.0000  4 La 2.50
N 0.2813 0.5626 0.3655  1 Sb 2.10
La 0.3707 0.7415 0.5379  3 N 2.43-2.50
La 0.3707 0.7415 0.9621  3 N 2.43-2.50
La 0.6293 0.2585 0.4621  3 N 2.43-2.50
La 0.6293 0.2585 0.0379  3 N 2.43-2.50
Pr 0.8928 0.7855 0.2500  6 N 2.74-2.84
Pr 0.1072 0.2145 0.7500  6 N 2.74-2.84
Sb 0.1569 0.3137 0.2500  4 N 2.10-2.18
Sb 0.8431 0.6863 0.7500  4 N 2.10-2.18

Computed properties:
The value obtained for the size of the total moment is 0.00 μB/f.u. The total energy comes out at -7.157 eV per atom. The calculated density comes out at 6855 kg/m³.

No. 4
This record from Alexandria describes LaAg2SbW after structural relaxation. The functional is PBE.

Unit cell a=5.2177 b=5.2177 c=5.1313 alpha=90.00 beta=90.00 gamma=90.00
Closest atoms and distances in Å follow each position.
Fractional coordinates of all 5 atoms:
La 0.0000 0.0000 0.5000  2 W 2.57
W 0.0000 0.0000 0.0000  2 La 2.57, 4 Ag 2.61
Ag 0.0000 0.5000 0.0000  2 W 2.61
Ag 0.5000 0.0000 0.0000  2 W 2.61
Sb 0.5000 0.5000 0.5000  8 Ag 3.66, 4 La 3.69

Computed properties:
The value obtained for the size of the total moment is 0.00 μB/f.u. The total energy comes out at -4.569 eV per atom. The calculated density comes out at 7848 kg/m³.

No. 5
This record from Alexandria describes Ca2CoAs after structural relaxation. The functional is PBE.

Unit cell a=3.7971 b=4.5039 c=5.9934 alpha=90.00 beta=90.00 gamma=90.00
Closest atoms and distances in Å follow each position.
Fractional coordinates of all 4 atoms:
Co 0.0000 0.0000 0.4213  6 Ca 2.94-3.06
As 0.5000 0.5000 0.8300  6 Ca 2.95-3.04
Ca 0.5000 0.5000 0.3374  2 As 2.95-3.04, 4 Co 2.99
Ca 0.0000 0.0000 0.9112  2 Co 2.94-3.06, 4 As 2.99

Computed properties:
The value obtained for the formation energy is -0.03 eV/atom. The value obtained for the size of the total moment is 1.73 μB/f.u. The total energy comes out at -3.972 eV per atom. The calculated density comes out at 3467 kg/m³.

No. 6
This record from Alexandria describes La2CoHg after structural relaxation. The functional is PBE.

Unit cell a=3.4884 b=3.4884 c=8.7013 alpha=90.00 beta=90.00 gamma=90.00
Closest atoms and distances in Å follow each position.
Fractional coordinates of all 4 atoms:
Hg 0.5000 0.5000 0.6953  4 Co 2.88, 1 La 3.15
La 0.5000 0.5000 0.3336  4 Co 2.97, 1 Hg 3.15
La 0.0000 0.0000 0.9464  4 Hg 3.30, 4 La 3.49, 1 Co 3.67
Co 0.0000 0.0000 0.5247  4 Hg 2.88, 4 La 2.97

Computed properties:
The value obtained for the formation energy is 0.04 eV/atom. The value obtained for the size of the total moment is 0.75 μB/f.u. The total energy comes out at -4.278 eV per atom. The calculated density comes out at 8427 kg/m³.

No. 7
This record from Alexandria describes Nb5RhW4 after structural relaxation. The functional is PBE.

Unit cell a=3.2453 b=3.2453 c=16.1393 alpha=90.00 beta=90.00 gamma=90.00
Closest atoms and distances in Å follow each position.
Fractional coordinates of all 10 atoms:
Nb 0.5000 0.5000 0.2980  8 W 2.82
Nb 0.5000 0.5000 0.1003  4 W 2.77, 4 Rh 2.81
Nb 0.5000 0.5000 0.5000  8 W 2.81
Nb 0.5000 0.5000 0.7020  8 W 2.82
Nb 0.5000 0.5000 0.8997  4 W 2.77, 4 Rh 2.81
W 0.0000 0.0000 0.3998  8 Nb 2.81-2.82
W 0.0000 0.0000 0.6002  8 Nb 2.81-2.82
W 0.0000 0.0000 0.1969  8 Nb 2.77-2.82
W 0.0000 0.0000 0.8031  8 Nb 2.77-2.82
Rh 0.0000 0.0000 0.0000  8 Nb 2.81

Computed properties:
The value obtained for the formation energy is -0.11 eV/atom. The value obtained for the size of the total moment is 0.00 μB/f.u. The total energy comes out at -11.063 eV per atom. The calculated density comes out at 12727 kg/m³.

No. 8
This record from Alexandria describes MgU4Rh12 after structural relaxation. The functional is PBE.

Unit cell a=7.1504 b=7.1504 c=7.1504 alpha=109.47 beta=109.47 gamma=109.47
Closest atoms and distances in Å follow each position.
Fractional coordinates of all 17 atoms:
Rh 0.5000 0.2500 0.7500  8 Rh 2.71-2.92, 4 U 2.92
Rh 0.7120 0.7120 0.0000  1 Mg 2.38
Rh 0.0000 0.7120 0.7120  1 Mg 2.38
Rh 0.7500 0.2500 0.5000  8 Rh 2.71-2.92, 4 U 2.92
Rh 0.2880 0.2880 0.0000  1 Mg 2.38
Rh 0.2500 0.5000 0.7500  8 Rh 2.71-2.92, 4 U 2.92
Rh 0.5000 0.7500 0.2500  8 Rh 2.71-2.92, 4 U 2.92
Rh 0.0000 0.2880 0.2880  1 Mg 2.38
Rh 0.2880 0.0000 0.2880  1 Mg 2.38
Rh 0.2500 0.7500 0.5000  8 Rh 2.71-2.92, 4 U 2.92
Rh 0.7500 0.5000 0.2500  8 Rh 2.71-2.92, 4 U 2.92
Rh 0.7120 0.0000 0.7120  1 Mg 2.38
Mg 0.0000 0.0000 0.0000  6 Rh 2.38
U 0.5000 0.0000 0.0000  12 Rh 2.92-2.94
U 0.5000 0.5000 0.5000  12 Rh 2.92-2.94
U 0.0000 0.5000 0.0000  12 Rh 2.92-2.94
U 0.0000 0.0000 0.5000  12 Rh 2.92-2.94

Computed properties:
The value obtained for the formation energy is -0.47 eV/atom. The value obtained for the size of the total moment is 0.99 μB/f.u. The total energy comes out at -8.408 eV per atom. The calculated density comes out at 13048 kg/m³.

No. 9
This record from Alexandria describes Tm3Sn3Hg after structural relaxation. The functional is PBE.

Unit cell a=6.0784 b=9.1102 c=9.1102 alpha=120.00 beta=90.00 gamma=90.00
Closest atoms and distances in Å follow each position.
Fractional coordinates of all 14 atoms:
Tm 0.2500 0.0368 0.6733  5 Sn 3.02-3.11, 1 Hg 3.24
Tm 0.7500 0.6733 0.6365  5 Sn 3.02-3.11, 1 Hg 3.24
Tm 0.7500 0.3635 0.0368  5 Sn 3.02-3.11, 1 Hg 3.24
Tm 0.7500 0.9632 0.3267  5 Sn 3.02-3.11, 1 Hg 3.24
Tm 0.2500 0.6365 0.9632  5 Sn 3.02-3.11, 1 Hg 3.24
Tm 0.2500 0.3267 0.3635  5 Sn 3.02-3.11, 1 Hg 3.24
Hg 0.2500 0.6667 0.3333  3 Sn 2.90, 3 Tm 3.24
Hg 0.7500 0.3333 0.6667  3 Sn 2.90, 3 Tm 3.24
Sn 0.2500 0.6971 0.6660  1 Hg 2.90, 5 Tm 3.02-3.11
Sn 0.7500 0.0311 0.6971  1 Hg 2.90, 5 Tm 3.02-3.11
Sn 0.2500 0.3340 0.0311  1 Hg 2.90, 5 Tm 3.02-3.11
Sn 0.7500 0.6660 0.9689  1 Hg 2.90, 5 Tm 3.02-3.11
Sn 0.7500 0.3029 0.3340  1 Hg 2.90, 5 Tm 3.02-3.11
Sn 0.2500 0.9689 0.3029  1 Hg 2.90, 5 Tm 3.02-3.11

Computed properties:
The value obtained for the formation energy is -0.30 eV/atom. The value obtained for the size of the total moment is 0.00 μB/f.u. The total energy comes out at -3.978 eV per atom. The calculated density comes out at 8084 kg/m³.

No. 10
This record from Alexandria describes LiZnGa after structural relaxation. The functional is PBE.

Unit cell a=3.3761 b=3.3761 c=4.7561 alpha=110.79 beta=110.79 gamma=90.00
Closest atoms and distances in Å follow each position.
Fractional coordinates of all 3 atoms:
Zn 0.2822 0.2822 0.5644  5 Ga 2.74-2.76, 5 Li 2.74-2.76
Li 0.6181 0.6181 0.2362  5 Ga 2.73-2.76, 5 Zn 2.74-2.76
Ga 0.9497 0.9497 0.8994  5 Li 2.73-2.76, 5 Zn 2.74-2.76

Computed properties:
The value obtained for the formation energy is -0.18 eV/atom. The value obtained for the size of the total moment is 0.00 μB/f.u. The total energy comes out at -2.251 eV per atom. The calculated density comes out at 5032 kg/m³.

No. 11
This record from Alexandria describes KVSe2 after structural relaxation. The functional is PBE.

Unit cell a=5.7483 b=7.1078 c=7.1078 alpha=117.54 beta=102.01 gamma=102.00
Closest atoms and distances in Å follow each position.
Fractional coordinates of all 8 atoms:
K 0.1363 0.1014 0.0598  8 Se 3.49-3.69
K 0.6366 0.8127 0.3478  8 Se 3.49-3.69
V 0.6365 0.4556 0.7054  4 Se 2.38
V 0.1364 0.4586 0.7024  4 Se 2.38
Se 0.7798 0.3652 0.3937  2 V 2.38
Se 0.2801 0.1472 0.6127  2 V 2.38
Se 0.9931 0.5490 0.0142  2 V 2.38
Se 0.4928 0.7670 0.7951  2 V 2.38

Computed properties:
The value obtained for the size of the total moment is 0.54 μB/f.u. The total energy comes out at -5.215 eV per atom. The calculated density comes out at 3491 kg/m³.

No. 12
This record from Alexandria describes MgZn2Sn2 after structural relaxation. The functional is PBE.

Unit cell a=4.4322 b=4.4322 c=6.7670 alpha=70.88 beta=70.88 gamma=90.00
Closest atoms and distances in Å follow each position.
Fractional coordinates of all 5 atoms:
Sn 0.2500 0.7500 0.5000  4 Zn 2.86, 4 Sn 3.13
Sn 0.7500 0.2500 0.5000  4 Zn 2.86, 4 Sn 3.13
Mg 0.0000 0.0000 0.0000  8 Zn 3.35, 8 Sn 3.73
Zn 0.4010 0.4010 0.1980  1 Zn 2.37
Zn 0.5990 0.5990 0.8020  1 Zn 2.37

Computed properties:
The value obtained for the formation energy is 0.09 eV/atom. The value obtained for the size of the total moment is 0.00 μB/f.u. The total energy comes out at -2.336 eV per atom. The calculated density comes out at 5533 kg/m³.

No. 13
This record from Alexandria describes Pm3Mg2Ga4 after structural relaxation. The functional is PBE.

Unit cell a=4.4876 b=5.7801 c=9.1001 alpha=96.98 beta=90.00 gamma=112.84
Closest atoms and distances in Å follow each position.
Fractional coordinates of all 9 atoms:
Pm 0.0000 0.0000 0.0000  8 Ga 3.13-3.45
Pm 0.3712 0.7425 0.6107  6 Ga 3.04-3.32
Pm 0.6288 0.2575 0.3893  6 Ga 3.04-3.32
Ga 0.2977 0.5954 0.9227  3 Mg 2.73-2.82, 2 Ga 2.90, 1 Pm 3.04
Ga 0.0727 0.1453 0.6416  2 Mg 2.73, 1 Ga 2.83
Ga 0.7023 0.4046 0.0773  3 Mg 2.73-2.82, 2 Ga 2.90, 1 Pm 3.04
Ga 0.9273 0.8547 0.3584  2 Mg 2.73, 1 Ga 2.83
Mg 0.3187 0.6375 0.2254  5 Ga 2.73-2.82
Mg 0.6813 0.3625 0.7746  5 Ga 2.73-2.82

Computed properties:
The value obtained for the formation energy is -0.44 eV/atom. The value obtained for the size of the total moment is 0.00 μB/f.u. The total energy comes out at -3.721 eV per atom. The calculated density comes out at 5872 kg/m³.